A relaxed structure of KZrGaCl6. Source: Alexandria, functional PBE.

Values from the calculation:
DOS at the Fermi energy = 0.00 states/eV/atom
E = -76.60 eV for the cell shown
space group = P4_2nm (102)
formation energy from raw total energies = -1617 meV per atom

```
KZrGaCl6
1.0
6.870 0.000 0.000
0.000 6.870 0.000
0.000 0.000 12.785
K Zr Ga Cl
2 2 2 12
Cartesian
0.000 0.000 0.000 K
3.435 3.435 6.393 K
0.000 0.000 8.450 Zr
3.435 3.435 2.057 Zr
0.000 0.000 4.306 Ga
3.435 3.435 10.699 Ga
1.200 1.200 6.576 Cl
1.262 1.262 10.181 Cl
1.680 1.680 2.075 Cl
1.755 5.115 8.468 Cl
2.173 4.697 3.788 Cl
2.235 4.635 0.183 Cl
4.635 2.235 0.183 Cl
4.697 2.173 3.788 Cl
5.115 1.755 8.468 Cl
5.190 5.190 2.075 Cl
5.609 5.609 10.181 Cl
5.671 5.671 6.576 Cl
```